Record 1
## DyThCoAg (GGA-PBE)

Data for a relaxed DyThCoAg crystal.

Structure (extended XYZ):
```
16
Lattice="7.123 0.000 0.000 0.000 7.123 0.000 0.000 0.000 7.123" Properties=species:S:1:pos:R:3 pbc="T T T"
Dy 0.000 0.000 0.000
Dy 0.000 3.562 3.562
Dy 3.562 0.000 3.562
Dy 3.562 3.562 0.000
Th 0.000 0.000 3.562
Th 0.000 3.562 0.000
Th 3.562 0.000 0.000
Th 3.562 3.562 3.562
Co 1.781 1.781 1.781
Co 1.781 5.343 5.343
Co 5.343 1.781 5.343
Co 5.343 5.343 1.781
Ag 1.781 1.781 5.343
Ag 1.781 5.343 1.781
Ag 5.343 1.781 1.781
Ag 5.343 5.343 5.343
```

Summary:
Space-group type   No. 216
E_form   -0.088 eV per atom



Record 2
## LiMg2TaFe (GGA-PBE)

Data for a relaxed LiMg2TaFe crystal.

Structure (extended XYZ):
```
5
Lattice="4.236 0.000 0.000 0.000 4.236 0.000 0.000 0.000 4.731" Properties=species:S:1:pos:R:3 pbc="T T T"
Li 0.000 0.000 0.000
Mg 0.000 2.118 0.000
Mg 2.118 0.000 0.000
Ta 0.000 0.000 2.365
Fe 2.118 2.118 2.365
```

Summary:
Space-group type   No. 123
E_form   1.257 eV per atom



Record 3
## LiEr4TmS8 (GGA-PBE)

Data for a relaxed LiEr4TmS8 crystal.

Structure (extended XYZ):
```
14
Lattice="3.968 2.291 6.467 -3.968 2.291 6.467 0.000 -4.582 6.467" Properties=species:S:1:pos:R:3 pbc="T T T"
Li 0.000 0.000 0.000
Er -2.058 -1.188 8.863
Er 0.000 0.000 4.848
Er 2.058 -1.188 8.863
Er 0.000 2.377 8.863
Tm 0.000 0.000 12.220
S 0.000 0.000 7.441
S 0.000 -2.129 10.463
S -1.844 1.065 10.463
S -1.877 -1.084 13.780
S 1.844 1.065 10.463
S 1.877 -1.084 13.780
S 0.000 2.167 13.780
S 0.000 0.000 16.852
```

Summary:
Space-group type   No. 160
E_form (uncorrected)   -1.98 eV/atom



no.,total energy (eV/atom),DOS(E_F) (states/eV per atom)
1,-5.58,0.6583
2,-3.83,1.3273
3,-6.10,0.0000